Density functional theory data (GGA-PBE) for CaTb4Au4 after structural relaxation.

Computed properties:
Total magnetization   0.00 μB/f.u.
DFT formation energy   -0.64 eV per atom

a = 9.424 Å, b = 9.424 Å, c = 5.890 Å
α = 90.00°, β = 90.00°, γ = 90.00°
Fractional coordinates of all 18 atoms:
Ca 0.250 0.250 0.250
Ca 0.750 0.750 0.750
Tb 0.082 0.651 0.163
Tb 0.151 0.918 0.663
Tb 0.349 0.582 0.663
Tb 0.418 0.849 0.163
Tb 0.582 0.151 0.837
Tb 0.651 0.418 0.337
Tb 0.849 0.082 0.337
Tb 0.918 0.349 0.837
Au 0.041 0.620 0.661
Au 0.120 0.959 0.161
Au 0.380 0.541 0.161
Au 0.459 0.880 0.661
Au 0.541 0.120 0.339
Au 0.620 0.459 0.839
Au 0.880 0.041 0.839
Au 0.959 0.380 0.339